Model 1:
VASP calculation (PBE) on a relaxed PmSmPt2 crystal.

Values from the calculation:
Volume in Å³ per cell: 91
Size of the total moment in Bohr magnetons per cell: 0.0
DOS at the Fermi energy in states/eV/f.u.: 2.9

a = 5.0908 Å, b = 5.0908 Å, c = 3.5284 Å
α = 90.00°, β = 90.00°, γ = 90.00°
Fractional positions:
Pm 0.0000 0.0000 0.0000
Sm 0.5000 0.5000 0.0000
Pt 0.0000 0.5000 0.5000
Pt 0.5000 0.0000 0.5000



Model 2:
VASP calculation (PBE) on a relaxed PmSmPt2 crystal.

Values from the calculation:
Volume in Å³ per cell: 95
Size of the total moment in Bohr magnetons per cell: 0.0
DOS at the Fermi energy in states/eV/f.u.: 2.7

a = 4.5350 Å, b = 5.7374 Å, c = 5.7374 Å
α = 39.61°, β = 90.00°, γ = 90.00°
Fractional positions:
Pm 0.0000 0.0000 0.0000
Sm 0.5000 0.2748 0.2748
Pt 0.0000 0.7255 0.7255
Pt 0.5000 0.5500 0.5500



Most stable structure: model 2